Record 1
Here is a relaxed structure of Ce3Co8Ni from Alexandria. Energies are from PBE.

Cell lengths 4.9522, 4.9522, 8.5892 Å; angles 73.24, 73.24, 60.00 degrees
Last column: magnetic moment on the atom in μB.
Sites, in units of the cell vectors:
Ce1 0.6235 0.6235 0.1295  -0.64
Ce2 0.0121 0.0121 0.9638  -0.46
Ce3 0.4913 0.4913 0.5261  -0.48
Co1 0.5632 0.0647 0.8088  0.74
Co2 0.0603 0.5550 0.3244  1.07
Co3 0.5632 0.5632 0.8088  0.74
Co4 0.0603 0.0603 0.3244  1.07
Co5 0.8106 0.8106 0.5682  1.20
Co6 0.3118 0.3118 0.0646  0.88
Co7 0.0647 0.5632 0.8088  0.74
Co8 0.5550 0.0603 0.3244  1.07
Ni1 0.1339 0.1339 0.5983  0.43


Record 2
Here is a relaxed structure of HoRe3Si3 from Alexandria. Energies are from PBE.

- Formation energy without anion corrections: 46 kJ per mole of atoms

Cell lengths 6.6034, 6.6034, 6.6034 Å; angles 90.00, 90.00, 90.00 degrees
Last column: magnetic moment on the atom in μB.
Sites, in units of the cell vectors:
Re1 0.2500 0.0000 0.5000  0.32
Re2 0.0000 0.5000 0.2500  0.32
Re3 0.5000 0.7500 0.0000  0.32
Re4 0.7500 0.0000 0.5000  0.32
Re5 0.0000 0.5000 0.7500  0.32
Re6 0.5000 0.2500 0.0000  0.32
Si1 0.0000 0.2500 0.5000  -0.01
Si2 0.0000 0.7500 0.5000  -0.01
Si3 0.5000 0.0000 0.7500  -0.01
Si4 0.7500 0.5000 0.0000  -0.01
Si5 0.5000 0.0000 0.2500  -0.01
Si6 0.2500 0.5000 0.0000  -0.01
Ho1 0.5000 0.5000 0.5000  -0.02
Ho2 0.0000 0.0000 0.0000  -0.02


Record 3
Here is a relaxed structure of Tm2Ga9Pt3 from Alexandria. Energies are from PBE.

Cell lengths 7.6794, 7.6794, 10.4868 Å; angles 89.94, 111.68, 119.79 degrees
Sites, in units of the cell vectors:
Tm1 0.3328 0.2479 0.7488
Tm2 0.6672 0.7521 0.2512
Tm3 0.9990 0.5839 0.7512
Tm4 0.0010 0.4161 0.2488
Ga1 0.4625 0.9176 0.7495
Ga2 0.5375 0.0824 0.2505
Ga3 0.6681 0.7130 0.7505
Ga4 0.3319 0.2871 0.2495
Ga5 0.4417 0.6355 0.9190
Ga6 0.5583 0.3645 0.0810
Ga7 0.2165 0.5227 0.5810
Ga8 0.7835 0.4773 0.4190
Ga9 0.8762 0.1262 0.7500
Ga10 0.1238 0.8738 0.2500
Ga11 0.1209 0.9769 0.9251
Ga12 0.8791 0.0231 0.0749
Ga13 0.5517 0.1958 0.5749
Ga14 0.4483 0.8042 0.4251
Ga15 0.8901 0.8599 0.5821
Ga16 0.1099 0.1401 0.4179
Ga17 0.7778 0.3080 0.9179
Ga18 0.2222 0.6920 0.0821
Pt1 0.5000 0.0000 0.0000
Pt2 0.5000 0.5000 0.5000
Pt3 0.8373 0.1670 0.4980
Pt4 0.1627 0.8330 0.5020
Pt5 0.1689 0.3393 0.0020
Pt6 0.8311 0.6607 0.9980


Record 4
Here is a relaxed structure of Ti5Ga2Pt12 from Alexandria. Energies are from PBE.

Cell lengths 5.4056, 7.8729, 8.7138 Å; angles 106.65, 90.00, 110.08 degrees
Sites, in units of the cell vectors:
Ti1 0.3228 0.6457 0.6589
Ti2 0.3540 0.7081 0.1513
Ti3 0.0000 0.0000 0.5000
Ti4 0.6460 0.2919 0.8487
Ti5 0.6772 0.3543 0.3411
Ga1 0.7491 0.0000 0.0000
Ga2 0.2509 0.0000 0.0000
Pt1 0.0799 0.1598 0.2688
Pt2 0.0532 0.6185 0.8972
Pt3 0.5652 0.6185 0.8972
Pt4 0.0849 0.6732 0.4057
Pt5 0.5884 0.6732 0.4057
Pt6 0.4913 0.9825 0.6494
Pt7 0.5087 0.0175 0.3506
Pt8 0.9151 0.3268 0.5943
Pt9 0.4116 0.3268 0.5943
Pt10 0.9468 0.3815 0.1028
Pt11 0.4348 0.3815 0.1028
Pt12 0.9201 0.8402 0.7312


Record 5
Here is a relaxed structure of MgCuW2 from Alexandria. Energies are from PBE.

Cell lengths 2.7264, 2.7264, 8.4197 Å; angles 90.00, 90.00, 90.00 degrees
Sites, in units of the cell vectors:
Cu1 0.5000 0.5000 0.2500
Mg1 0.5000 0.5000 0.7500
W1 0.0000 0.0000 0.0227
W2 0.0000 0.0000 0.4773


Record 6
Here is a relaxed structure of HoBIr from Alexandria. Energies are from PBE.

Cell lengths 4.1995, 3.6919, 3.6919 Å; angles 120.00, 90.00, 90.00 degrees
Sites, in units of the cell vectors:
B1 0.5000 0.6667 0.3333
Ir1 0.5000 0.3333 0.6667
Ho1 0.9999 0.0000 0.0000


Record 7
Here is a relaxed structure of DyErTeO6 from Alexandria. Energies are from PBE.

- Formation energy without anion corrections: -239 kJ per mole of atoms

Cell lengths 5.5170, 5.5170, 9.4859 Å; angles 90.00, 90.00, 120.00 degrees
Sites, in units of the cell vectors:
Dy1 0.0000 0.0000 0.0000
Dy2 0.0000 0.0000 0.5000
Er1 0.3333 0.6667 0.2500
Er2 0.6667 0.3333 0.7500
Te1 0.6667 0.3333 0.2500
Te2 0.3333 0.6667 0.7500
O1 0.6696 0.6294 0.1348
O2 0.9598 0.3304 0.1348
O3 0.3304 0.9598 0.6348
O4 0.0402 0.6696 0.8652
O5 0.3706 0.3304 0.3652
O6 0.9598 0.6294 0.3652
O7 0.6294 0.9598 0.8652
O8 0.6696 0.0402 0.3652
O9 0.0402 0.3706 0.6348
O10 0.3706 0.0402 0.1348
O11 0.6294 0.6696 0.6348
O12 0.3304 0.3706 0.8652


Record 8
Here is a relaxed structure of Mn2RhI from Alexandria. Energies are from PBE.

- Formation energy without anion corrections: 85 kJ per mole of atoms

Cell lengths 4.3304, 4.3304, 4.3304 Å; angles 60.00, 60.00, 60.00 degrees
Sites, in units of the cell vectors:
I1 0.5000 0.5000 0.5000
Mn1 0.2500 0.2500 0.2500
Mn2 0.7500 0.7500 0.7500
Rh1 0.0000 0.0000 0.0000


Final energy values, unit eV/atom, following the record order: -6.8443; -7.8346; -4.5199; -6.8184; -7.4516; -7.3798; -7.1501; -5.9255.